No. 1
First-principles (GGA-PBE) data for a relaxed Zr2GaP crystal, as listed in the Alexandria database.

## Properties
- ΔE_f: -0.919 eV per atom
- Offset from the most stable computed form: 0.024 eV per atom

abc: 3.7290 3.7290 19.4908
angles: 90.00 90.00 120.00
Space group R-3m (No. 166, hexagonal axes)
Inequivalent atoms, fractional coordinates:
Zr1 0.0000 0.0000 0.2436 [6 per cell]
Ga1 0.0000 0.0000 0.0000 [3 per cell]
P1 0.0000 0.0000 0.5000 [3 per cell]

No. 2
First-principles (GGA-PBE) data for a relaxed CaV2HS crystal, as listed in the Alexandria database.

## Properties
- Total DFT energy (no corrections): -25.6 eV for the cell shown

abc: 4.2852 4.2852 5.9474
angles: 90.00 90.00 90.00
Space group P4/mmm (No. 123)
Inequivalent atoms, fractional coordinates:
Ca1 0.0000 0.0000 0.0000 [1 per cell]
V1 0.0000 0.5000 0.5000 [2 per cell]
H1 0.5000 0.5000 0.0000 [1 per cell]
S1 0.5000 0.5000 0.5000 [1 per cell]

No. 3
First-principles (GGA-PBE) data for a relaxed LaReC crystal, as listed in the Alexandria database.

## Properties
- ΔE_f: 0.147 eV per atom

abc: 3.5545 3.5545 4.8475
angles: 90.00 90.00 120.00
Space group P-6m2 (No. 187)
Inequivalent atoms, fractional coordinates:
La1 0.0000 0.0000 0.0000 [1 per cell]
Re1 0.6667 0.3333 0.5000 [1 per cell]
C1 0.3333 0.6667 0.5000 [1 per cell]

No. 4
First-principles (GGA-PBE) data for a relaxed Sm2Al4CdAu3 crystal, as listed in the Alexandria database.

## Properties
- ΔE_f: -0.641 eV per atom

abc: 4.3693 4.3693 10.8077
angles: 90.00 90.00 90.00
Space group P-4m2 (No. 115)
Inequivalent atoms, fractional coordinates:
Sm1 0.0000 0.5000 0.2458 [2 per cell]
Al1 0.0000 0.0000 0.0000 [1 per cell]
Al2 0.0000 0.5000 0.6433 [2 per cell]
Al3 0.5000 0.5000 0.0000 [1 per cell]
Cd1 0.0000 0.0000 0.5000 [1 per cell]
Au1 0.0000 0.5000 0.8727 [2 per cell]
Au2 0.5000 0.5000 0.5000 [1 per cell]

No. 5
First-principles (GGA-PBE) data for a relaxed ReSi2Ni crystal, as listed in the Alexandria database.

## Properties
- Formation energy without anion corrections: 0.341 eV/atom

abc: 6.3690 6.3690 5.4930
angles: 90.00 90.00 90.00
Space group I-42d (No. 122)
Inequivalent atoms, fractional coordinates:
Re1 0.0000 0.0000 0.0000 [4 per cell]
Si1 0.2214 0.2500 0.6250 [8 per cell]
Ni1 0.0000 0.0000 0.5000 [4 per cell]

No. 6
First-principles (GGA-PBE) data for a relaxed Th5RuPb2 crystal, as listed in the Alexandria database.

## Properties
- ΔE_f: 0.193 eV per atom

abc: 5.5733 15.5629 13.4238
angles: 90.00 90.00 90.00
Space group Cmcm (No. 63)
Inequivalent atoms, fractional coordinates:
Th1 0.0000 0.0820 0.1003 [8 per cell]
Th2 0.0000 0.3001 0.0316 [8 per cell]
Th3 0.0000 0.3179 0.7500 [4 per cell]
Ru1 0.0000 0.1981 0.2500 [4 per cell]
Pb1 0.0000 0.1285 0.6349 [8 per cell]